{
  "formula": "Li2Si12Ni5O30",
  "functional": "PBE with a Hubbard U",
  "state": "relaxed",
  "cell": [[10.107, 0.000, 0.000], [-5.054, 8.753, 0.000], [0.000, 0.000, 14.513]],
  "species": ["Li", "Li", "Li", "Li", "Si", "Si", "Si", "Si", "Si", "Si", "Si", "Si", "Si", "Si", "Si", "Si", "Si", "Si", "Si", "Si", "Si", "Si", "Si", "Si", "Si", "Si", "Si", "Si", "Ni", "Ni", "Ni", "Ni", "Ni", "Ni", "Ni", "Ni", "Ni", "Ni", "O", "O", "O", "O", "O", "O", "O", "O", "O", "O", "O", "O", "O", "O", "O", "O", "O", "O", "O", "O", "O", "O", "O", "O", "O", "O", "O", "O", "O", "O", "O", "O", "O", "O", "O", "O", "O", "O", "O", "O", "O", "O", "O", "O", "O", "O", "O", "O", "O", "O", "O", "O", "O", "O", "O", "O", "O", "O", "O", "O"],
  "frac_coords": [[0.000, 0.000, 0.000], [0.000, 0.000, 0.500], [0.333, 0.667, 0.250], [0.667, 0.333, 0.750], [0.112, 0.756, 0.642], [0.112, 0.756, 0.858], [0.121, 0.356, 0.143], [0.121, 0.356, 0.357], [0.235, 0.879, 0.143], [0.235, 0.879, 0.357], [0.244, 0.356, 0.642], [0.244, 0.356, 0.858], [0.356, 0.121, 0.643], [0.356, 0.121, 0.857], [0.356, 0.244, 0.142], [0.356, 0.244, 0.358], [0.644, 0.765, 0.143], [0.644, 0.765, 0.357], [0.644, 0.888, 0.642], [0.644, 0.888, 0.858], [0.756, 0.112, 0.142], [0.756, 0.112, 0.358], [0.765, 0.644, 0.643], [0.765, 0.644, 0.857], [0.879, 0.235, 0.643], [0.879, 0.235, 0.857], [0.888, 0.644, 0.142], [0.888, 0.644, 0.358], [0.000, 0.483, 0.000], [0.000, 0.483, 0.500], [0.333, 0.667, 0.503], [0.333, 0.667, 0.997], [0.483, 0.000, 0.000], [0.483, 0.000, 0.500], [0.517, 0.517, 0.000], [0.517, 0.517, 0.500], [0.667, 0.333, 0.003], [0.667, 0.333, 0.497], [0.053, 0.798, 0.115], [0.053, 0.798, 0.385], [0.062, 0.299, 0.632], [0.062, 0.299, 0.868], [0.104, 0.706, 0.750], [0.149, 0.653, 0.575], [0.149, 0.653, 0.925], [0.165, 0.503, 0.081], [0.165, 0.503, 0.419], [0.170, 0.419, 0.250], [0.202, 0.255, 0.115], [0.202, 0.255, 0.385], [0.237, 0.938, 0.632], [0.237, 0.938, 0.868], [0.249, 0.830, 0.250], [0.255, 0.202, 0.615], [0.255, 0.202, 0.885], [0.294, 0.399, 0.750], [0.299, 0.062, 0.132], [0.299, 0.062, 0.368], [0.338, 0.835, 0.081], [0.338, 0.835, 0.419], [0.347, 0.496, 0.575], [0.347, 0.496, 0.925], [0.399, 0.294, 0.250], [0.419, 0.170, 0.750], [0.496, 0.347, 0.075], [0.496, 0.347, 0.425], [0.497, 0.662, 0.081], [0.497, 0.662, 0.419], [0.503, 0.165, 0.581], [0.503, 0.165, 0.919], [0.504, 0.851, 0.575], [0.504, 0.851, 0.925], [0.581, 0.751, 0.250], [0.601, 0.896, 0.750], [0.653, 0.149, 0.075], [0.653, 0.149, 0.425], [0.662, 0.497, 0.581], [0.662, 0.497, 0.919], [0.701, 0.763, 0.632], [0.701, 0.763, 0.868], [0.706, 0.104, 0.250], [0.745, 0.947, 0.115], [0.745, 0.947, 0.385], [0.751, 0.581, 0.750], [0.763, 0.701, 0.132], [0.763, 0.701, 0.368], [0.798, 0.053, 0.615], [0.798, 0.053, 0.885], [0.830, 0.249, 0.750], [0.835, 0.338, 0.581], [0.835, 0.338, 0.919], [0.851, 0.504, 0.075], [0.851, 0.504, 0.425], [0.896, 0.601, 0.250], [0.938, 0.237, 0.132], [0.938, 0.237, 0.368], [0.947, 0.745, 0.615], [0.947, 0.745, 0.885]],
  "dos_at_fermi_per_ev_atom": 0.000,
  "spacegroup": "P-62c (190)",
  "density_g_cm3": 2.9,
  "total_magnetization_mub_per_atom": 0.200,
  "dft_energy_ev_per_atom": -7.071
}

***

{
  "formula": "Li5Ni5Sn2O12",
  "functional": "PBE with a Hubbard U",
  "state": "relaxed",
  "cell": [[2.608, -4.526, 0.000], [2.608, 4.526, 0.000], [-1.822, 0.000, 9.794]],
  "species": ["Li", "Li", "Li", "Li", "Li", "Ni", "Ni", "Ni", "Ni", "Ni", "Sn", "Sn", "O", "O", "O", "O", "O", "O", "O", "O", "O", "O", "O", "O"],
  "frac_coords": [[0.000, 0.000, 0.000], [0.273, 0.230, 0.750], [0.413, 0.085, 0.246], [0.770, 0.727, 0.250], [0.915, 0.587, 0.754], [0.089, 0.409, 0.247], [0.176, 0.824, 0.500], [0.508, 0.492, 0.500], [0.591, 0.911, 0.753], [0.666, 0.334, 0.000], [0.333, 0.667, 0.000], [0.841, 0.159, 0.500], [0.052, 0.693, 0.126], [0.129, 0.126, 0.377], [0.220, 0.535, 0.620], [0.307, 0.948, 0.874], [0.392, 0.386, 0.118], [0.465, 0.780, 0.380], [0.550, 0.191, 0.620], [0.614, 0.608, 0.882], [0.706, 0.064, 0.116], [0.809, 0.450, 0.380], [0.874, 0.871, 0.623], [0.936, 0.294, 0.884]],
  "dos_at_fermi_per_ev_atom": 0.046,
  "spacegroup": "C2 (5)",
  "density_g_cm3": 5.4,
  "total_magnetization_mub_per_atom": 0.375,
  "dft_energy_ev_per_atom": -5.246
}

***

{
  "formula": "Li3Ni2SnO6",
  "functional": "PBE with a Hubbard U",
  "state": "relaxed",
  "cell": [[2.608, -4.520, 0.000], [2.608, 4.520, 0.000], [-1.708, 0.000, 4.908]],
  "species": ["Li", "Li", "Li", "Ni", "Ni", "Sn", "O", "O", "O", "O", "O", "O"],
  "frac_coords": [[0.000, 0.000, 0.000], [0.319, 0.681, 0.000], [0.681, 0.319, 0.000], [0.167, 0.833, 0.500], [0.833, 0.167, 0.500], [0.500, 0.500, 0.500], [0.090, 0.426, 0.267], [0.238, 0.238, 0.731], [0.426, 0.090, 0.267], [0.574, 0.910, 0.733], [0.762, 0.762, 0.269], [0.910, 0.574, 0.733]],
  "dos_at_fermi_per_ev_atom": 0.435,
  "spacegroup": "C2/m (12)",
  "density_g_cm3": 5.1,
  "total_magnetization_mub_per_atom": 0.250,
  "polymorph_energy_ev_per_fu": 0.000
}